{"formula": "YMnOs2", "functional": "GGA-PBE", "state": "optimized geometry", "formation_enthalpy_0k_ev_per_atom": 0.1383, "space_group": "P4/mmm", "energy_ry_per_atom": -0.68979, "e_above_lowest_polymorph_ev_per_atom": 0.0000, "lattice": [[3.112, 0.000, 0.000], [0.000, 3.112, 0.000], [0.000, 0.000, 6.874]], "species": ["Y", "Mn", "Os", "Os"], "fractional_positions": [[0.000, 0.000, 0.000], [0.000, 0.000, 0.500], [0.500, 0.500, 0.300], [0.500, 0.500, 0.700]]}